Computed, not measured: an optimized crystal structure of AlTeAs2Se at the GGA-PBE level of DFT.

Cell lengths 5.3356, 5.3356, 5.3883 Å; angles 90.00, 90.00, 90.00 degrees
Sites, in units of the cell vectors:
As: 0.0000 0.5000 0.0000
As: 0.5000 0.0000 0.0000
Te: 0.0000 0.0000 0.0000
Al: 0.5000 0.5000 0.5000
Se: 0.0000 0.0000 0.5000

Values from the calculation:
* raw formation energy: 0.89 eV per atom
* volume: 153.4 Å³/cell
* ΔE to the lowest computed polymorph: 519 meV per atom
* energy: -3.041 eV/atom
* density: 4.2 g/cm³

Computed, not measured: an optimized crystal structure of Ni3SbTe at the GGA-PBE level of DFT.

Cell lengths 4.6694, 4.6694, 4.6694 Å; angles 90.00, 90.00, 90.00 degrees
Sites, in units of the cell vectors:
Sb: 0.5000 0.5000 0.5000
Te: 0.0000 0.0000 0.0000
Ni: 0.0000 0.5000 0.0000
Ni: 0.0000 0.0000 0.5000
Ni: 0.5000 0.0000 0.0000

Values from the calculation:
* raw formation energy: 0.63 eV per atom
* volume: 101.8 Å³/cell
* ΔE to the lowest computed polymorph: 738 meV per atom
* energy: -4.292 eV/atom
* density: 6.9 g/cm³

Computed, not measured: an optimized crystal structure of Pm5PS4 at the GGA-PBE level of DFT.

Cell lengths 4.0535, 4.0535, 14.6248 Å; angles 97.97, 97.97, 90.00 degrees
Sites, in units of the cell vectors:
Pm: 0.0987 0.0987 0.1975
Pm: 0.5000 0.5000 0.0000
Pm: 0.9013 0.9013 0.8025
Pm: 0.2988 0.2988 0.5976
Pm: 0.7012 0.7012 0.4024
P: 0.0000 0.0000 0.0000
S: 0.3991 0.3991 0.7982
S: 0.8006 0.8006 0.6011
S: 0.1994 0.1994 0.3989
S: 0.6009 0.6009 0.2018

Values from the calculation:
* raw formation energy: -1.96 eV per atom
* volume: 235.6 Å³/cell
* energy: -6.532 eV/atom
* density: 6.2 g/cm³

Computed, not measured: an optimized crystal structure of Er5TmTh4 at the GGA-PBE level of DFT.

Cell lengths 8.5303, 11.6594, 6.6655 Å; angles 90.00, 90.00, 90.00 degrees
Sites, in units of the cell vectors:
Er: 0.1842 0.7837 0.7599
Er: 0.1842 0.2163 0.7599
Er: 0.7952 0.5000 0.0000
Er: 0.1842 0.7837 0.2401
Er: 0.1842 0.2163 0.2401
Er: 0.8158 0.7163 0.2599
Er: 0.8158 0.2837 0.2599
Er: 0.2048 0.0000 0.5000
Er: 0.8158 0.2837 0.7401
Er: 0.8158 0.7163 0.7401
Tm: 0.4545 0.0000 0.0000
Tm: 0.5455 0.5000 0.5000
Th: 0.8562 0.0000 0.7484
Th: 0.4693 0.6460 0.0000
Th: 0.4693 0.3540 0.0000
Th: 0.8562 0.0000 0.2516
Th: 0.1438 0.5000 0.2484
Th: 0.5307 0.8540 0.5000
Th: 0.5307 0.1460 0.5000
Th: 0.1438 0.5000 0.7516

Values from the calculation:
* volume: 662.9 Å³/cell
* ΔE to the lowest computed polymorph: 297 meV per atom
* energy: -5.292 eV/atom
* ΔH_f (0 K): 0.4044 eV/atom
* density: 9.7 g/cm³

Computed, not measured: an optimized crystal structure of AgIBrO2 at the GGA-PBE level of DFT.

Cell lengths 4.1266, 4.1266, 7.5242 Å; angles 90.00, 90.00, 90.00 degrees
Sites, in units of the cell vectors:
I: 0.0000 0.0000 0.5000
O: 0.0000 0.5000 0.0000
O: 0.5000 0.0000 0.0000
Br: 0.5000 0.5000 0.5000
Ag: 0.0000 0.0000 0.0000

Values from the calculation:
* raw formation energy: 0.55 eV per atom
* volume: 128.1 Å³/cell
* ΔE to the lowest computed polymorph: 128 meV per atom
* energy: -2.651 eV/atom
* density: 4.5 g/cm³

Computed, not measured: an optimized crystal structure of Ac5CoNi at the GGA-PBE level of DFT.

Cell lengths 6.9690, 7.9679, 10.5073 Å; angles 82.83, 73.42, 64.07 degrees
Sites, in units of the cell vectors:
Ac: 0.3723 0.6780 0.8612
Ac: 0.5311 0.2179 0.5329
Ac: 0.0503 0.3220 0.3612
Ac: 0.9266 0.1469 0.7500
Ac: 0.2510 0.2179 0.9671
Ac: 0.7490 0.7821 0.0329
Ac: 0.0734 0.8531 0.2500
Ac: 0.9497 0.6780 0.6388
Ac: 0.4689 0.7821 0.4671
Ac: 0.6277 0.3220 0.1388
Co: 0.0000 0.0000 0.0000
Co: 0.0000 0.0000 0.5000
Ni: 0.5238 0.9524 0.7500
Ni: 0.4762 0.0476 0.2500

Values from the calculation:
* volume: 502.9 Å³/cell
* energy: -4.813 eV/atom
* ΔH_f (0 K): -0.0372 eV/atom
* density: 8.3 g/cm³

Computed, not measured: an optimized crystal structure of Sr2AgBiN at the GGA-PBE level of DFT.

Cell lengths 5.4304, 5.4304, 4.3311 Å; angles 90.00, 90.00, 90.00 degrees
Sites, in units of the cell vectors:
Sr: 0.0000 0.5000 0.0000
Sr: 0.5000 0.0000 0.0000
Bi: 0.5000 0.5000 0.5000
Ag: 0.0000 0.0000 0.5000
N: 0.0000 0.0000 0.0000

Values from the calculation:
* raw formation energy: -0.41 eV per atom
* volume: 127.7 Å³/cell
* energy: -4.095 eV/atom
* density: 6.6 g/cm³

Computed, not measured: an optimized crystal structure of Pr3Ag2Pb at the GGA-PBE level of DFT.

Cell lengths 4.0740, 5.2755, 8.3976 Å; angles 108.31, 90.00, 90.00 degrees
Sites, in units of the cell vectors:
Pr: 0.5000 0.5000 0.0000
Pr: 0.5000 0.8301 0.6602
Pr: 0.5000 0.1699 0.3398
Ag: 0.0000 0.3303 0.6606
Ag: 0.0000 0.6697 0.3394
Pb: 0.0000 0.0000 0.0000

Values from the calculation:
* volume: 171.4 Å³/cell
* energy: -4.286 eV/atom
* ΔH_f (0 K): -0.3274 eV/atom
* density: 8.2 g/cm³

Computed, not measured: an optimized crystal structure of SrPmGe at the GGA-PBE level of DFT.

Cell lengths 4.8355, 4.9230, 4.9230 Å; angles 120.00, 90.00, 90.00 degrees
Sites, in units of the cell vectors:
Sr: 0.7021 0.6667 0.3333
Ge: 0.0927 0.0000 0.0000
Pm: 0.2052 0.3333 0.6667

Values from the calculation:
* volume: 101.5 Å³/cell
* ΔE to the lowest computed polymorph: 91 meV per atom
* energy: -4.019 eV/atom
* ΔH_f (0 K): -0.3355 eV/atom
* density: 5.0 g/cm³

Computed, not measured: an optimized crystal structure of Pm2As3PdPt4 at the GGA-PBE level of DFT.

Cell lengths 4.3174, 4.3174, 10.4826 Å; angles 90.00, 90.00, 90.00 degrees
Sites, in units of the cell vectors:
Pm: 0.5000 0.0000 0.2494
Pm: 0.0000 0.5000 0.7506
As: 0.0000 0.0000 0.5000
As: 0.5000 0.0000 0.8699
As: 0.0000 0.5000 0.1301
Pd: 0.5000 0.5000 0.5000
Pt: 0.5000 0.5000 0.0000
Pt: 0.0000 0.0000 0.0000
Pt: 0.5000 0.0000 0.6421
Pt: 0.0000 0.5000 0.3579

Values from the calculation:
* volume: 195.4 Å³/cell
* energy: -6.076 eV/atom
* ΔH_f (0 K): -0.7959 eV/atom
* density: 11.9 g/cm³

Computed, not measured: an optimized crystal structure of SrYRh2 at the GGA-PBE level of DFT.

Cell lengths 7.6095, 7.6095, 6.2776 Å; angles 52.69, 52.69, 90.00 degrees
Sites, in units of the cell vectors:
Y: 0.0000 0.0000 0.0000
Y: 0.7500 0.2500 0.5000
Sr: 0.5000 0.5000 0.0000
Sr: 0.2500 0.7500 0.5000
Rh: 0.6454 0.1250 0.2500
Rh: 0.1046 0.6250 0.2500
Rh: 0.3750 0.3546 0.7500
Rh: 0.8750 0.8954 0.7500

Values from the calculation:
* volume: 187.2 Å³/cell
* energy: -5.815 eV/atom
* ΔH_f (0 K): -0.1028 eV/atom
* density: 6.8 g/cm³

Computed, not measured: an optimized crystal structure of Ba2Sn3Au2 at the GGA-PBE level of DFT.

Cell lengths 4.8796, 6.3209, 7.7599 Å; angles 107.78, 90.00, 112.71 degrees
Sites, in units of the cell vectors:
Ba: 0.8463 0.6925 0.2045
Ba: 0.1537 0.3075 0.7955
Sn: 0.5000 0.0000 0.0000
Sn: 0.6095 0.2189 0.4375
Sn: 0.3905 0.7811 0.5625
Au: 0.8521 0.7043 0.7249
Au: 0.1479 0.2957 0.2751

Values from the calculation:
* volume: 208.3 Å³/cell
* ΔE to the lowest computed polymorph: 25 meV per atom
* energy: -3.746 eV/atom
* ΔH_f (0 K): -0.5450 eV/atom
* density: 8.2 g/cm³